(1)
The following is a DFT calculation (PBE) of crystalline Ca2CrB at its relaxed geometry.

Summary:
Density of states at the Fermi level (states/eV per cell): 6.85
Size of the total moment (μB per cell): 7.01
Energy of formation (eV/atom): 0.4202
Symmetry: I-42d (122)
Total energy (eV for the cell shown): -37.25

Unit cell a=7.5160 b=7.5160 c=7.5160 alpha=94.33 beta=94.33 gamma=148.12
Element x y z (fractional)
Ca1 0.3750 0.1963 0.3213
Ca2 0.8037 0.1250 0.1787
Ca3 0.8750 0.0537 0.6787
Ca4 0.9463 0.6250 0.8213
Cr1 0.2500 0.7500 0.5000
Cr2 0.5000 0.5000 0.0000
B1 0.0000 0.0000 0.0000
B2 0.7500 0.2500 0.5000


(2)
The following is a DFT calculation (PBE) of crystalline CaCrB3 at its relaxed geometry.

Summary:
Density of states at the Fermi level (states/eV per cell): 3.55
Size of the total moment (μB per cell): 0.00
Energy of formation (eV/atom): 0.3071
Symmetry: Pm-3m (221)
Total energy (eV for the cell shown): -30.12

Unit cell a=3.9672 b=3.9672 c=3.9672 alpha=90.00 beta=90.00 gamma=90.00
Element x y z (fractional)
Ca1 0.0000 0.0000 0.0000
Cr1 0.5000 0.5000 0.5000
B1 0.0000 0.5000 0.5000
B2 0.5000 0.0000 0.5000
B3 0.5000 0.5000 0.0000


(3)
The following is a DFT calculation (PBE) of crystalline Ca2CrFeB at its relaxed geometry.

Summary:
Density of states at the Fermi level (states/eV per cell): 6.04
Size of the total moment (μB per cell): 1.52
Energy of formation (eV/atom): 1.2262
Symmetry: P4/mmm (123)
Total energy (eV for the cell shown): -22.64

Unit cell a=5.3823 b=5.3823 c=4.1013 alpha=90.00 beta=90.00 gamma=90.00
Element x y z (fractional)
Ca1 0.0000 0.5000 0.0000
Ca2 0.5000 0.0000 0.0000
Cr1 0.0000 0.0000 0.5000
Fe1 0.0000 0.0000 0.0000
B1 0.5000 0.5000 0.5000


(4)
The following is a DFT calculation (PBE) of crystalline CaHfCrB2 at its relaxed geometry.

Summary:
Density of states at the Fermi level (states/eV per cell): 5.78
Size of the total moment (μB per cell): 0.00
Energy of formation (eV/atom): 2.2144
Symmetry: P4/mmm (123)
Total energy (eV for the cell shown): -23.86

Unit cell a=4.3607 b=4.3607 c=4.1564 alpha=90.00 beta=90.00 gamma=90.00
Element x y z (fractional)
Ca1 0.0000 0.0000 0.0000
Hf1 0.5000 0.5000 0.5000
Cr1 0.0000 0.0000 0.5000
B1 0.0000 0.5000 0.0000
B2 0.5000 0.0000 0.0000


(5)
The following is a DFT calculation (PBE) of crystalline Ca2CrBI at its relaxed geometry.

Summary:
Density of states at the Fermi level (states/eV per cell): 12.44
Size of the total moment (μB per cell): 0.42
ΔE_f (raw) (kJ per mole of atoms): 116
Symmetry: P4/mmm (123)
Total energy (eV for the cell shown): -15.84

Unit cell a=5.2239 b=5.2239 c=4.8570 alpha=90.00 beta=90.00 gamma=90.00
Element x y z (fractional)
Ca1 0.0000 0.5000 0.0000
Ca2 0.5000 0.0000 0.0000
Cr1 0.0000 0.0000 0.5000
B1 0.5000 0.5000 0.0000
I1 0.5000 0.5000 0.5000


(6)
The following is a DFT calculation (PBE) of crystalline CaMnCrB2 at its relaxed geometry.

Summary:
Density of states at the Fermi level (states/eV per cell): 6.61
Size of the total moment (μB per cell): 0.14
Energy of formation (eV/atom): 1.6917
Symmetry: P4/mmm (123)
Total energy (eV for the cell shown): -25.69

Unit cell a=4.0162 b=4.0162 c=4.5079 alpha=90.00 beta=90.00 gamma=90.00
Element x y z (fractional)
Ca1 0.0000 0.0000 0.0000
Mn1 0.5000 0.5000 0.0000
Cr1 0.0000 0.0000 0.5000
B1 0.0000 0.5000 0.5000
B2 0.5000 0.0000 0.5000


(7)
The following is a DFT calculation (PBE) of crystalline CaNbCrB2 at its relaxed geometry.

Summary:
Density of states at the Fermi level (states/eV per cell): 6.30
Size of the total moment (μB per cell): 0.33
Energy of formation (eV/atom): 2.0389
Symmetry: P4/mmm (123)
Total energy (eV for the cell shown): -24.86

Unit cell a=4.2962 b=4.2962 c=5.0438 alpha=90.00 beta=90.00 gamma=90.00
Element x y z (fractional)
Ca1 0.0000 0.0000 0.0000
Nb1 0.0000 0.0000 0.5000
Cr1 0.5000 0.5000 0.0000
B1 0.0000 0.5000 0.5000
B2 0.5000 0.0000 0.5000